VASP calculation (GGA-PBE) on LiTmPaFe after structural relaxation.

Properties
electronic total energy	-5.9160	eV per atom
ρ	10.0	g/cm³
energy relative to the elements	170	meV per atom

abc: 6.742 6.742 6.742
angles: 90.00 90.00 90.00
Space group F-43m (No. 216)
One atom of each set of equivalent atoms:
Li  0.000  0.000  0.000 (multiplicity 4)
Tm  0.250  0.250  0.250 (multiplicity 4)
Pa  0.250  0.250  0.750 (multiplicity 4)
Fe  0.000  0.000  0.500 (multiplicity 4)


VASP calculation (GGA-PBE) on LiFePb2 after structural relaxation.

Properties
electronic total energy	-3.9713	eV per atom
ρ	8.5	g/cm³
energy relative to the elements	477	meV per atom

abc: 7.198 7.198 7.198
angles: 90.00 90.00 90.00
Space group F-43m (No. 216)
One atom of each set of equivalent atoms:
Li  0.000  0.000  0.000 (multiplicity 4)
Fe  0.250  0.250  0.750 (multiplicity 4)
Pb  0.000  0.000  0.500 (multiplicity 4)
Pb  0.250  0.250  0.250 (multiplicity 4)


VASP calculation (GGA-PBE) on LiFePb2 after structural relaxation.

Properties
electronic total energy	-4.0534	eV per atom
ρ	8.5	g/cm³
energy relative to the elements	395	meV per atom

abc: 3.2886 3.2886 29.7758
angles: 90.00 90.00 120.00
Space group R3m (No. 160, hexagonal axes)
One atom of each set of equivalent atoms:
Li  0.0000  0.0000  0.0000 (multiplicity 3)
Fe  0.0000  0.0000  0.7333 (multiplicity 3)
Pb  0.0000  0.0000  0.2490 (multiplicity 3)
Pb  0.0000  0.0000  0.4739 (multiplicity 3)


VASP calculation (GGA-PBE) on LiFePb after structural relaxation.

Properties
electronic total energy	-4.2651	eV per atom
ρ	7.2	g/cm³
energy relative to the elements	430	meV per atom

abc: 6.306 6.306 6.306
angles: 90.00 90.00 90.00
Space group F-43m (No. 216)
One atom of each set of equivalent atoms:
Li  0.000  0.000  0.000 (multiplicity 4)
Fe  0.250  0.250  0.750 (multiplicity 4)
Pb  0.000  0.000  0.500 (multiplicity 4)


VASP calculation (GGA-PBE) on LiFePb after structural relaxation.

Properties
electronic total energy	-4.3721	eV per atom
ρ	8.3	g/cm³
energy relative to the elements	323	meV per atom

abc: 4.5323 4.5323 3.0470
angles: 90.00 90.00 120.00
Space group P3m1 (No. 156)
One atom of each set of equivalent atoms:
Li  0.0000  0.0000  0.0000 (multiplicity 1)
Fe  0.3333  0.6667  0.6502 (multiplicity 1)
Pb  0.6667  0.3333  0.3270 (multiplicity 1)


VASP calculation (GGA-PBE) on Li2FePb after structural relaxation.

Properties
electronic total energy	-3.6631	eV per atom
ρ	5.9	g/cm³
energy relative to the elements	337	meV per atom

abc: 3.1197 3.1197 27.8438
angles: 90.00 90.00 120.00
Space group R-3m (No. 166, hexagonal axes)
One atom of each set of equivalent atoms:
Li  0.0000  0.0000  0.2435 (multiplicity 6)
Fe  0.0000  0.0000  0.5000 (multiplicity 3)
Pb  0.0000  0.0000  0.0000 (multiplicity 3)


- Which value of energy relative to the elements does entry 4 give?
  430 meV per atom